[1]
Entry from the Alexandria database: a geometry-optimized NaZnCu structure (GGA-PBE).

The value obtained for the volume is 51 Å³ per cell. For the formation energy, the calculation gives 0.17 eV per atom. As for the relative energy among the computed polymorphs: 0.086 eV/atom. For the density, the calculation gives 4991 kg/m³. Its space group is P3m1. As for the crystal system: trigonal. The total magnetization comes out at 0.000 μB/atom.

a = 4.7245 Å, b = 4.7245 Å, c = 2.6154 Å
α = 90.00°, β = 90.00°, γ = 120.00°
Positions (direct):
Na (0.0000, 0.0000, 0.0000)
Zn (0.3333, 0.6667, 0.4931)
Cu (0.6667, 0.3333, 0.5079)

[2]
Entry from the Alexandria database: a geometry-optimized NaZn2Cu structure (GGA-PBE).

The value obtained for the volume is 70 Å³ per cell. For the formation energy, the calculation gives 0.04 eV per atom. For the density, the calculation gives 5189 kg/m³. Its space group is P4/mmm. As for the crystal system: tetragonal. The total magnetization comes out at 0.000 μB/atom.

a = 3.0901 Å, b = 3.0901 Å, c = 7.2838 Å
α = 90.00°, β = 90.00°, γ = 90.00°
Positions (direct):
Na (0.0000, 0.0000, 0.0000)
Zn (0.5000, 0.5000, 0.3127)
Zn (0.5000, 0.5000, 0.6873)
Cu (0.0000, 0.0000, 0.5000)

[3]
Entry from the Alexandria database: a geometry-optimized Na2ZnCu structure (GGA-PBE).

The value obtained for the volume is 244 Å³ per cell. For the formation energy, the calculation gives 0.38 eV per atom. For the density, the calculation gives 3574 kg/m³. Its space group is R-3m. As for the crystal system: trigonal. The total magnetization comes out at 0.000 μB/atom.

a = 2.9647 Å, b = 2.9647 Å, c = 32.0360 Å
α = 90.00°, β = 90.00°, γ = 120.00°
Positions (direct):
Na (0.0000, 0.0000, 0.0851)
Na (0.0000, 0.0000, 0.9149)
Na (0.3333, 0.6667, 0.5816)
Na (0.3333, 0.6667, 0.7517)
Na (0.6667, 0.3333, 0.2483)
Na (0.6667, 0.3333, 0.4184)
Zn (0.0000, 0.0000, 0.5000)
Zn (0.3333, 0.6667, 0.1667)
Zn (0.6667, 0.3333, 0.8333)
Cu (0.0000, 0.0000, 0.0000)
Cu (0.3333, 0.6667, 0.6667)
Cu (0.6667, 0.3333, 0.3333)

[4]
Entry from the Alexandria database: a geometry-optimized NaZnCu2 structure (GGA-PBE).

The value obtained for the volume is 366 Å³ per cell. For the formation energy, the calculation gives 0.29 eV per atom. For the density, the calculation gives 3909 kg/m³. Its space group is I4_1/amd. As for the crystal system: tetragonal. The total magnetization comes out at 0.000 μB/atom.

a = 4.6544 Å, b = 4.6544 Å, c = 16.9019 Å
α = 90.00°, β = 90.00°, γ = 90.00°
Positions (direct):
Na (0.0000, 0.2500, 0.3750)
Na (0.0000, 0.7500, 0.6250)
Na (0.5000, 0.2500, 0.1250)
Na (0.5000, 0.7500, 0.8750)
Zn (0.0000, 0.2500, 0.8750)
Zn (0.0000, 0.7500, 0.1250)
Zn (0.5000, 0.2500, 0.6250)
Zn (0.5000, 0.7500, 0.3750)
Cu (0.0000, 0.0000, 0.0000)
Cu (0.0000, 0.5000, 0.0000)
Cu (0.2500, 0.2500, 0.7500)
Cu (0.2500, 0.7500, 0.2500)
Cu (0.5000, 0.0000, 0.5000)
Cu (0.5000, 0.5000, 0.5000)
Cu (0.7500, 0.2500, 0.7500)
Cu (0.7500, 0.7500, 0.2500)

[5]
Entry from the Alexandria database: a geometry-optimized NaZnCu3 structure (GGA-PBE).

The value obtained for the volume is 98 Å³ per cell. For the formation energy, the calculation gives 0.46 eV per atom. As for the relative energy among the computed polymorphs: 0.000 eV/atom. For the density, the calculation gives 4747 kg/m³. Its space group is Pm-3m. As for the crystal system: cubic. The total magnetization comes out at 0.000 μB/atom.

a = 4.6043 Å, b = 4.6043 Å, c = 4.6043 Å
α = 90.00°, β = 90.00°, γ = 90.00°
Positions (direct):
Na (0.0000, 0.0000, 0.0000)
Zn (0.5000, 0.5000, 0.5000)
Cu (0.0000, 0.5000, 0.5000)
Cu (0.5000, 0.0000, 0.5000)
Cu (0.5000, 0.5000, 0.0000)

[6]
Entry from the Alexandria database: a geometry-optimized NaZn2Cu structure (GGA-PBE).

The value obtained for the volume is 389 Å³ per cell. For the formation energy, the calculation gives 0.21 eV per atom. For the density, the calculation gives 3715 kg/m³. Its space group is I-42d. As for the crystal system: tetragonal. The total magnetization comes out at 0.000 μB/atom.

a = 4.7990 Å, b = 4.7990 Å, c = 16.8761 Å
α = 90.00°, β = 90.00°, γ = 90.00°
Positions (direct):
Na (0.0000, 0.0000, 0.0000)
Na (0.0000, 0.5000, 0.2500)
Na (0.5000, 0.0000, 0.7500)
Na (0.5000, 0.5000, 0.5000)
Zn (0.0025, 0.2500, 0.6250)
Zn (0.2500, 0.5025, 0.8750)
Zn (0.2500, 0.9975, 0.3750)
Zn (0.4975, 0.2500, 0.1250)
Zn (0.5025, 0.7500, 0.1250)
Zn (0.7500, 0.0025, 0.3750)
Zn (0.7500, 0.4975, 0.8750)
Zn (0.9975, 0.7500, 0.6250)
Cu (0.0000, 0.0000, 0.5000)
Cu (0.0000, 0.5000, 0.7500)
Cu (0.5000, 0.0000, 0.2500)
Cu (0.5000, 0.5000, 0.0000)

[7]
Entry from the Alexandria database: a geometry-optimized NaZnCu2 structure (GGA-PBE).

The value obtained for the volume is 63 Å³ per cell. For the formation energy, the calculation gives 0.13 eV per atom. For the density, the calculation gives 5686 kg/m³. Its space group is P4/mmm. As for the crystal system: tetragonal. The total magnetization comes out at 0.000 μB/atom.

a = 2.8378 Å, b = 2.8378 Å, c = 7.8149 Å
α = 90.00°, β = 90.00°, γ = 90.00°
Positions (direct):
Na (0.0000, 0.0000, 0.0000)
Zn (0.0000, 0.0000, 0.5000)
Cu (0.5000, 0.5000, 0.2973)
Cu (0.5000, 0.5000, 0.7027)

[8]
Entry from the Alexandria database: a geometry-optimized NaZn10Cu2 structure (GGA-PBE).

The value obtained for the volume is 201 Å³ per cell. For the formation energy, the calculation gives -0.04 eV per atom. For the density, the calculation gives 6635 kg/m³. Its space group is Fmmm. As for the crystal system: orthorhombic. The total magnetization comes out at 0.000 μB/atom.

a = 8.8432 Å, b = 6.7875 Å, c = 6.7364 Å
α = 81.67°, β = 49.41°, γ = 48.91°
Positions (direct):
Na (0.0000, 0.0000, 0.0000)
Zn (0.0000, 0.5000, 0.0000)
Zn (0.0081, 0.6515, 0.3485)
Zn (0.2808, 0.5042, 0.4958)
Zn (0.3485, 0.9919, 0.0081)
Zn (0.4958, 0.7192, 0.2808)
Zn (0.5000, 0.0000, 0.5000)
Zn (0.5042, 0.2808, 0.7192)
Zn (0.6515, 0.0081, 0.9919)
Zn (0.7192, 0.4958, 0.5042)
Zn (0.9919, 0.3485, 0.6515)
Cu (0.0000, 0.0000, 0.5000)
Cu (0.5000, 0.5000, 0.0000)

[9]
Entry from the Alexandria database: a geometry-optimized NaZnCu structure (GGA-PBE).

The value obtained for the volume is 117 Å³ per cell. For the formation energy, the calculation gives 0.09 eV per atom. As for the relative energy among the computed polymorphs: 0.000 eV/atom. For the density, the calculation gives 4299 kg/m³. Its space group is P4/nmm. As for the crystal system: tetragonal. The total magnetization comes out at 0.000 μB/atom.

a = 3.9185 Å, b = 3.9185 Å, c = 7.6446 Å
α = 90.00°, β = 90.00°, γ = 90.00°
Positions (direct):
Na (0.2500, 0.2500, 0.1473)
Na (0.7500, 0.7500, 0.8527)
Zn (0.2500, 0.2500, 0.7054)
Zn (0.7500, 0.7500, 0.2946)
Cu (0.2500, 0.7500, 0.5000)
Cu (0.7500, 0.2500, 0.5000)

[10]
Entry from the Alexandria database: a geometry-optimized NaZn8Cu4 structure (GGA-PBE).

The value obtained for the volume is 193 Å³ per cell. For the formation energy, the calculation gives -0.08 eV per atom. For the density, the calculation gives 6897 kg/m³. Its space group is I4/mmm. As for the crystal system: tetragonal. The total magnetization comes out at 0.000 μB/atom.

a = 6.6887 Å, b = 6.6887 Å, c = 6.6887 Å
α = 98.06°, β = 98.06°, γ = 136.01°
Positions (direct):
Na (0.0000, 0.0000, 0.0000)
Zn (0.0000, 0.3421, 0.3421)
Zn (0.0000, 0.6579, 0.6579)
Zn (0.2807, 0.5000, 0.7807)
Zn (0.3421, 0.0000, 0.3421)
Zn (0.5000, 0.2807, 0.7807)
Zn (0.5000, 0.7193, 0.2193)
Zn (0.6579, 0.0000, 0.6579)
Zn (0.7193, 0.5000, 0.2193)
Cu (0.0000, 0.0000, 0.5000)
Cu (0.0000, 0.5000, 0.0000)
Cu (0.5000, 0.0000, 0.0000)
Cu (0.5000, 0.5000, 0.5000)

Number 1: energy -2.0567 eV/atom. Number 2: energy -1.9478 eV/atom. Number 3: energy -1.6191 eV/atom. Number 4: energy -2.4046 eV/atom. Number 5: energy -2.5197 eV/atom. Number 6: energy -1.7762 eV/atom. Number 7: energy -2.5675 eV/atom. Number 8: energy -1.7524 eV/atom. Number 9: energy -2.1426 eV/atom. Number 10: energy -2.2262 eV/atom.